KSr2VPb: relaxed, GGA-PBE.

abc: 6.1561 6.0340 6.1561
angles: 90.00 90.00 90.00
Fractional coordinates of all 5 atoms:
Pb (0.5000, 0.5000, 0.5000)
Sr (0.0000, 0.0000, 0.5000)
Sr (0.5000, 0.0000, 0.0000)
K (0.0000, 0.5000, 0.0000)
V (0.0000, 0.0000, 0.0000)

Summary:
Crystal system: tetragonal
Density of states at the Fermi level, states/eV/atom: 0.4954
Energy of formation from the pure elements, eV/atom: 0.710
Total energy, eV/atom: -2.747
Calculated density, g/cm3: 3.43

---

ZnPtBr5: relaxed, GGA-PBE.

abc: 6.7509 6.7509 10.2811
angles: 102.30 112.45 95.39
Fractional coordinates of all 14 atoms:
Zn (0.7050, 0.9550, 0.2500)
Zn (0.2950, 0.0450, 0.7500)
Pt (0.0000, 0.0000, 0.0000)
Pt (0.0000, 0.5000, 0.5000)
Br (0.2807, 0.8323, 0.1520)
Br (0.2560, 0.7985, 0.5117)
Br (0.3198, 0.3714, 0.6520)
Br (0.9899, 0.2399, 0.2500)
Br (0.2868, 0.2444, 0.9883)
Br (0.7132, 0.7556, 0.0117)
Br (0.0101, 0.7601, 0.7500)
Br (0.6802, 0.6286, 0.3480)
Br (0.7440, 0.2015, 0.4883)
Br (0.7193, 0.1677, 0.8480)

Summary:
Crystal system: monoclinic
Density of states at the Fermi level, states/eV/atom: 0.0930
Formation energy from raw total energies, meV per atom: -457
Total energy, eV/atom: -2.697
Calculated density, g/cm3: 5.28

---

Tm3MgO: relaxed, GGA-PBE.

abc: 4.7553 4.7553 4.7553
angles: 90.00 90.00 90.00
Fractional coordinates of all 5 atoms:
Mg (0.5000, 0.5000, 0.5000)
Tm (0.0000, 0.5000, 0.0000)
Tm (0.0000, 0.0000, 0.5000)
Tm (0.5000, 0.0000, 0.0000)
O (0.0000, 0.0000, 0.0000)

Summary:
Crystal system: cubic
Density of states at the Fermi level, states/eV/atom: 0.7309
Formation energy from raw total energies, meV per atom: -1180
Total energy, eV/atom: -5.174
Calculated density, g/cm3: 8.45